The following is a DFT calculation (PBE) of LiCr2Rh after structural relaxation.

Cell lengths 4.167, 4.167, 4.167 Å; angles 119.95, 119.95, 90.09 degrees
Fractional positions:
Li (0.000, 0.000, 0.000)
Cr (0.250, 0.750, 0.500)
Cr (0.500, 0.500, 0.000)
Rh (0.750, 0.250, 0.500)

Computed properties:
Its calculated formation energy is 35.3 kJ/mol of formula units.



The following is a DFT calculation (PBE) of Li2CrRh after structural relaxation.

Cell lengths 2.482, 2.482, 8.718 Å; angles 90.00, 90.00, 90.00 degrees
Fractional positions:
Li (0.000, 0.000, 0.237)
Li (0.000, 0.000, 0.763)
Cr (0.500, 0.500, 0.500)
Rh (0.500, 0.500, 0.000)

Computed properties:
Its polymorph energy (0 for the lowest one) is 241 meV per atom. Its calculated formation energy is 121.8 kJ/mol of formula units.



The following is a DFT calculation (PBE) of LiCrRh2 after structural relaxation.

Cell lengths 8.665, 8.665, 8.665 Å; angles 17.85, 17.85, 17.85 degrees
Fractional positions:
Li (0.000, 0.000, 0.000)
Cr (0.167, 0.167, 0.167)
Rh (0.580, 0.580, 0.580)
Rh (0.754, 0.754, 0.754)

Computed properties:
Its calculated formation energy is -35.6 kJ/mol of formula units.